The following is a GGA-PBE calculation of a relaxed structure of Sm4Dy3Ge4, from Alexandria via LeMat-Bulk.

Geometry as CIF:
```
data_Sm4Dy3Ge4
_chemical_formula_sum 'Sm8 Dy6 Ge8'
_cell_length_a 3.749
_cell_length_b 8.815
_cell_length_c 17.371
_cell_angle_alpha 90.00
_cell_angle_beta 90.00
_cell_angle_gamma 90.00
_space_group_name_H-M_alt 'I m m m'
_space_group_IT_number 71
_space_group_name_Hall '-I 2 2'
loop_
_atom_site_label
_atom_site_type_symbol
_atom_site_fract_x
_atom_site_fract_y
_atom_site_fract_z
Sm1 Sm 0.000 0.176 0.170
Dy1 Dy 0.000 0.000 0.406
Dy2 Dy 0.000 0.500 0.500
Ge1 Ge 0.000 0.277 0.000
Ge2 Ge 0.000 0.500 0.223
```

## Properties
For the electronic total energy, the calculation gives -5.257 eV/atom. For the calculated volume, the calculation gives 26.09 Å³/atom. The total magnetization comes out at 0.00 μB per cell. Its formation energy is -607 meV per atom. The mass density comes out at 8.0 Mg/m³.